1.
Material: CeScU
Method: DFT, PBE
State: relaxed

Cell: 8.0975 8.0975 8.0975 Å, 158.66 158.66 30.36°
Fractional positions:
Ce1 0.0000 0.0000 0.0000
Sc1 0.3133 0.3133 0.0000
U1 0.6591 0.6591 0.0000

Calculated values
Symmetry   I4mm, No. 107
Calculated volume   70.28 Å³/cell
Spin magnetization   0.277 μB/atom
Raw total energy   -7.641 eV/atom



2.
Material: BeZnPCl2
Method: DFT, PBE
State: relaxed

Cell: 4.1492 4.1492 5.7846 Å, 90.00 90.00 90.00°
Fractional positions:
Be1 0.0000 0.0000 0.0000
Zn1 0.5000 0.5000 0.5000
P1 0.0000 0.0000 0.5000
Cl1 0.0000 0.5000 0.0000
Cl2 0.5000 0.0000 0.0000

Calculated values
Symmetry   P4/mmm, No. 123
ΔE_f (raw)   0.2 eV/f.u.
Calculated volume   99.59 Å³/cell
Spin magnetization   0.188 μB/atom



3.
Material: Sr2Li2In5Ag
Method: DFT, PBE
State: relaxed

Cell: 11.4168 11.4168 3.8671 Å, 90.00 90.00 90.00°
Fractional positions:
Sr1 0.1795 0.3205 0.0000
Sr2 0.3205 0.8205 0.0000
Sr3 0.6795 0.1795 0.0000
Sr4 0.8205 0.6795 0.0000
Li1 0.1228 0.6228 0.0000
Li2 0.3772 0.1228 0.0000
Li3 0.6228 0.8772 0.0000
Li4 0.8772 0.3772 0.0000
In1 0.0000 0.5000 0.5000
In2 0.0536 0.8063 0.5000
In3 0.1937 0.0536 0.5000
In4 0.3063 0.5536 0.5000
In5 0.4464 0.3063 0.5000
In6 0.5000 0.0000 0.5000
In7 0.5536 0.6937 0.5000
In8 0.6937 0.4464 0.5000
In9 0.8063 0.9464 0.5000
In10 0.9464 0.1937 0.5000
Ag1 0.0000 0.0000 0.0000
Ag2 0.5000 0.5000 0.0000

Calculated values
Symmetry   P4/mbm, No. 127
Calculated volume   504.04 Å³/cell
Spin magnetization   0.000 μB/atom
Raw total energy   -2.653 eV/atom



4.
Material: K2Zn2Co
Method: DFT, PBE
State: relaxed

Cell: 6.7930 6.7930 5.7709 Å, 90.00 90.00 90.00°
Fractional positions:
K1 0.1694 0.3306 0.0000
K2 0.3306 0.8306 0.0000
K3 0.6694 0.1694 0.0000
K4 0.8306 0.6694 0.0000
Zn1 0.1943 0.6943 0.5000
Zn2 0.3057 0.1943 0.5000
Zn3 0.6943 0.8057 0.5000
Zn4 0.8057 0.3057 0.5000
Co1 0.0000 0.0000 0.5000
Co2 0.5000 0.5000 0.5000

Calculated values
Symmetry   P4/mbm, No. 127
Calculated volume   266.30 Å³/cell
Spin magnetization   0.146 μB/atom
Raw total energy   -1.926 eV/atom



5.
Material: RbLi2Si2
Method: DFT, PBE
State: relaxed

Cell: 8.2142 8.2142 3.1276 Å, 90.00 90.00 90.00°
Fractional positions:
Rb1 0.0000 0.0000 0.0000
Rb2 0.5000 0.5000 0.0000
Li1 0.1654 0.3346 0.0000
Li2 0.3346 0.8346 0.0000
Li3 0.6654 0.1654 0.0000
Li4 0.8346 0.6654 0.0000
Si1 0.1018 0.6018 0.5000
Si2 0.3982 0.1018 0.5000
Si3 0.6018 0.8982 0.5000
Si4 0.8982 0.3982 0.5000

Calculated values
Symmetry   P4/mbm, No. 127
ΔE_f (raw)   0.5 eV/f.u.
Calculated volume   211.03 Å³/cell
Spin magnetization   0.000 μB/atom



6.
Material: CoAg2W
Method: DFT, PBE
State: relaxed

Cell: 2.7448 4.6356 4.9514 Å, 90.00 90.00 90.00°
Fractional positions:
Co1 0.0000 0.0000 0.0000
Ag1 0.0000 0.5000 0.5000
Ag2 0.5000 0.0000 0.5000
W1 0.5000 0.5000 0.0000

Calculated values
Symmetry   Pmmm, No. 47
Calculated volume   63.00 Å³/cell
Spin magnetization   0.323 μB/atom
Raw total energy   -5.785 eV/atom



7.
Material: Ac2MnGa3Rh4
Method: DFT, PBE
State: relaxed

Cell: 4.3400 4.3400 10.5617 Å, 90.00 90.00 90.00°
Fractional positions:
Ac1 0.0000 0.5000 0.2427
Ac2 0.5000 0.0000 0.7573
Mn1 0.0000 0.0000 0.5000
Ga1 0.0000 0.5000 0.8808
Ga2 0.5000 0.0000 0.1192
Ga3 0.5000 0.5000 0.5000
Rh1 0.0000 0.0000 0.0000
Rh2 0.0000 0.5000 0.6363
Rh3 0.5000 0.0000 0.3637
Rh4 0.5000 0.5000 0.0000

Calculated values
Symmetry   P-4m2, No. 115
Calculated volume   198.94 Å³/cell
Spin magnetization   0.418 μB/atom
Raw total energy   -6.266 eV/atom



8.
Material: Rb3LaPm2Te6
Method: DFT, PBE
State: relaxed

Cell: 8.0771 8.0771 8.9737 Å, 98.63 98.63 120.00°
Fractional positions:
Rb1 0.0000 0.0000 0.0000
Rb2 0.3345 0.6655 0.0000
Rb3 0.6655 0.3345 0.0000
La1 0.5000 0.5000 0.5000
Pm1 0.1668 0.8332 0.5000
Pm2 0.8332 0.1668 0.5000
Te1 0.0932 0.4317 0.2952
Te2 0.2296 0.2296 0.7044
Te3 0.4317 0.0932 0.2952
Te4 0.5683 0.9068 0.7048
Te5 0.7704 0.7704 0.2956
Te6 0.9068 0.5683 0.7048

Calculated values
Symmetry   C2/m, No. 12
ΔE_f (raw)   -17.2 eV/f.u.
Calculated volume   483.61 Å³/cell
Spin magnetization   0.000 μB/atom